[1]
A plane-wave DFT calculation with SCAN was carried out for a PBEsol-optimized structure of CaAlCo3.

Lattice parameters (Å, degrees): 4.328 4.328 4.328 90.00 90.00 90.00
Space group Pm-3m (No. 221)
Symmetry-distinct sites (fractional):
Ca  0.000  0.000  0.000 (multiplicity 1)
Al  0.500  0.500  0.500 (multiplicity 1)
Co  0.000  0.500  0.500 (multiplicity 3)

Results
calculated formation energy	294	kJ/mol of formula units

[2]
A plane-wave DFT calculation with SCAN was carried out for a PBEsol-optimized structure of Ca3Al4CoO10.

Lattice parameters (Å, degrees): 16.757 5.110 10.620 90.00 90.00 90.00
Space group Pca2_1 (No. 29)
Symmetry-distinct sites (fractional):
Ca  0.107  0.217  0.000 (multiplicity 4)
Ca  0.110  0.218  0.649 (multiplicity 4)
Ca  0.209  0.235  0.337 (multiplicity 4)
Al  0.031  0.138  0.327 (multiplicity 4)
Al  0.076  0.642  0.180 (multiplicity 4)
Al  0.164  0.771  0.829 (multiplicity 4)
Al  0.249  0.711  0.079 (multiplicity 4)
Co  0.078  0.652  0.481 (multiplicity 4)
O  0.006  0.519  0.073 (multiplicity 4)
O  0.055  0.474  0.321 (multiplicity 4)
O  0.071  0.938  0.829 (multiplicity 4)
O  0.074  0.985  0.192 (multiplicity 4)
O  0.088  0.016  0.455 (multiplicity 4)
O  0.166  0.432  0.828 (multiplicity 4)
O  0.171  0.512  0.140 (multiplicity 4)
O  0.180  0.493  0.517 (multiplicity 4)
O  0.212  0.922  0.960 (multiplicity 4)
O  0.214  0.919  0.699 (multiplicity 4)

Results
energy relative to the elements, uncorrected	-55.91	eV per formula unit

[3]
A plane-wave DFT calculation with SCAN was carried out for a PBEsol-optimized structure of Ca2AlCoO5.

Lattice parameters (Å, degrees): 14.769 5.433 5.139 90.00 90.00 90.00
Space group Ima2 (No. 46)
Symmetry-distinct sites (fractional):
Ca  0.109  0.030  0.000 (multiplicity 8)
Al  0.250  0.574  0.039 (multiplicity 4)
Co  0.000  0.000  0.490 (multiplicity 4)
O  0.011  0.746  0.244 (multiplicity 8)
O  0.146  0.064  0.465 (multiplicity 8)
O  0.250  0.631  0.384 (multiplicity 4)

Results
energy relative to the elements, uncorrected	-24.75	eV per formula unit

[4]
A plane-wave DFT calculation with SCAN was carried out for a PBEsol-optimized structure of Ca2AlCr.

Lattice parameters (Å, degrees): 3.4842 3.4842 30.0758 90.00 90.00 120.00
Space group R-3m (No. 166, hexagonal axes)
Symmetry-distinct sites (fractional):
Ca  0.0000  0.0000  0.2485 (multiplicity 6)
Al  0.0000  0.0000  0.5000 (multiplicity 3)
Cr  0.0000  0.0000  0.0000 (multiplicity 3)

Results
calculated formation energy	140	kJ/mol of formula units

[5]
A plane-wave DFT calculation with SCAN was carried out for a PBEsol-optimized structure of Ca3AlCr.

Lattice parameters (Å, degrees): 5.755 5.755 5.755 90.00 90.00 90.00
Space group Pm-3m (No. 221)
Symmetry-distinct sites (fractional):
Ca  0.000  0.000  0.500 (multiplicity 3)
Al  0.000  0.000  0.000 (multiplicity 1)
Cr  0.500  0.500  0.500 (multiplicity 1)

Results
calculated formation energy	228	kJ/mol of formula units

[6]
A plane-wave DFT calculation with SCAN was carried out for a PBEsol-optimized structure of CaAl20Cr2.

Lattice parameters (Å, degrees): 14.346 14.346 14.346 90.00 90.00 90.00
Space group Fd-3m (No. 227, origin choice 2)
Symmetry-distinct sites (fractional):
Ca  0.125  0.125  0.125 (multiplicity 8)
Al  0.000  0.000  0.000 (multiplicity 16)
Al  0.012  0.375  0.875 (multiplicity 48)
Al  0.058  0.058  0.326 (multiplicity 96)
Cr  0.000  0.000  0.500 (multiplicity 16)

Results
calculated formation energy	-339	kJ/mol of formula units

[7]
A plane-wave DFT calculation with SCAN was carried out for a PBEsol-optimized structure of CaAl2Cr.

Lattice parameters (Å, degrees): 3.112 3.112 7.467 90.00 90.00 90.00
Space group P4/mmm (No. 123)
Symmetry-distinct sites (fractional):
Ca  0.000  0.000  0.000 (multiplicity 1)
Al  0.500  0.500  0.309 (multiplicity 2)
Cr  0.000  0.000  0.500 (multiplicity 1)

Results
calculated formation energy	-72	kJ/mol of formula units

[8]
A plane-wave DFT calculation with SCAN was carried out for a PBEsol-optimized structure of Ca2AlCr.

Lattice parameters (Å, degrees): 7.167 7.167 7.167 90.00 90.00 90.00
Space group F-43m (No. 216)
Symmetry-distinct sites (fractional):
Ca  0.000  0.000  0.000 (multiplicity 4)
Ca  0.250  0.250  0.250 (multiplicity 4)
Al  0.250  0.250  0.750 (multiplicity 4)
Cr  0.000  0.000  0.500 (multiplicity 4)

Results
calculated formation energy	4	kJ/mol of formula units

[9]
A plane-wave DFT calculation with SCAN was carried out for a PBEsol-optimized structure of Ca4Al51Cr7.

Lattice parameters (Å, degrees): 10.1621 10.1621 11.4110 90.00 90.00 120.00
Space group P-3m1 (No. 164)
Symmetry-distinct sites (fractional):
Ca  0.3333  0.6667  0.0970 (multiplicity 2)
Ca  0.3333  0.6667  0.4158 (multiplicity 2)
Al  0.0000  0.3590  0.5000 (multiplicity 6)
Al  0.0000  0.5000  0.0000 (multiplicity 3)
Al  0.0672  0.3977  0.2462 (multiplicity 12)
Al  0.0905  0.1809  0.8281 (multiplicity 6)
Al  0.0913  0.1825  0.3949 (multiplicity 6)
Al  0.1540  0.3079  0.0444 (multiplicity 6)
Al  0.1563  0.5781  0.6517 (multiplicity 6)
Al  0.2423  0.4846  0.8560 (multiplicity 6)
Cr  0.0000  0.0000  0.0000 (multiplicity 1)
Cr  0.1692  0.3384  0.6562 (multiplicity 6)

Results
calculated formation energy	-1041	kJ/mol of formula units

[10]
A plane-wave DFT calculation with SCAN was carried out for a PBEsol-optimized structure of CaAl2Cr.

Lattice parameters (Å, degrees): 3.211 3.211 7.435 90.00 90.00 90.00
Space group P4mm (No. 99)
Symmetry-distinct sites (fractional):
Ca  0.000  0.000  0.000 (multiplicity 1)
Al  0.000  0.000  0.468 (multiplicity 1)
Al  0.500  0.500  0.687 (multiplicity 1)
Cr  0.500  0.500  0.300 (multiplicity 1)

Results
calculated formation energy	20	kJ/mol of formula units

[11]
A plane-wave DFT calculation with SCAN was carried out for a PBEsol-optimized structure of CaAlCr2.

Lattice parameters (Å, degrees): 9.392 3.024 5.134 90.00 109.57 90.00
Space group Cm (No. 8)
Symmetry-distinct sites (fractional):
Ca  0.000  0.000  0.000 (multiplicity 2)
Al  0.291  0.500  0.352 (multiplicity 2)
Cr  0.046  0.500  0.513 (multiplicity 2)
Cr  0.216  0.000  0.713 (multiplicity 2)

Results
calculated formation energy	130	kJ/mol of formula units

[12]
A plane-wave DFT calculation with SCAN was carried out for a PBEsol-optimized structure of CaAlCr2.

Lattice parameters (Å, degrees): 3.044 3.044 7.308 90.00 90.00 90.00
Space group P4mm (No. 99)
Symmetry-distinct sites (fractional):
Ca  0.000  0.000  0.000 (multiplicity 1)
Al  0.500  0.500  0.680 (multiplicity 1)
Cr  0.000  0.000  0.460 (multiplicity 1)
Cr  0.500  0.500  0.318 (multiplicity 1)

Results
calculated formation energy	10	kJ/mol of formula units